[1]
PrHo5Rh4 (GGA-PBE, optimized geometry); Fermi-level density of states = 0.62 states/eV/atom; magnetic moment = 0.000 Bohr magnetons per cell; E_tot = -63.2 eV per formula unit; energy of formation from the pure elements = -611 meV/atom
1.0
4.490 0.000 0.000
0.000 7.049 -0.607
-2.245 -1.625 8.084
Pr Ho Rh
1 5 4
Direct
0.500 0.000 0.000
0.805 0.736 0.611
0.860 0.241 0.719
0.140 0.759 0.281
0.500 0.500 0.000
0.195 0.264 0.389
0.313 0.998 0.626
0.963 0.684 0.925
0.687 0.002 0.374
0.037 0.316 0.075



[2]
PrHoRh4 (GGA-PBE, optimized geometry); Fermi-level density of states = 0.66 states/eV/atom; magnetic moment = 0.000 Bohr magnetons per cell; E_tot = -42.8 eV per formula unit; energy of formation from the pure elements = -681 meV/atom
1.0
5.384 0.000 0.000
2.692 4.662 0.000
2.692 1.554 4.396
Pr Rh Ho
1 4 1
Direct
0.000 0.000 0.000
0.625 0.625 0.126
0.625 0.126 0.625
0.625 0.625 0.625
0.126 0.625 0.625
0.250 0.250 0.250



[3]
Pr3HoRh8 (GGA-PBE, optimized geometry); Fermi-level density of states = 0.55 states/eV/atom; magnetic moment = 0.000 Bohr magnetons per cell; E_tot = -85.6 eV per formula unit; energy of formation from the pure elements = -660 meV/atom
1.0
5.178 0.000 1.563
2.353 4.613 1.563
-0.006 -0.004 9.378
Pr Ho Rh
3 1 8
Direct
0.375 0.375 0.875
0.999 0.999 0.002
0.501 0.501 0.498
0.875 0.875 0.376
0.936 0.437 0.191
0.440 0.938 0.684
0.437 0.437 0.191
0.938 0.938 0.684
0.188 0.188 0.437
0.687 0.687 0.938
0.437 0.936 0.191
0.938 0.440 0.684



[4]
PrHo3Rh2 (GGA-PBE, optimized geometry); Fermi-level density of states = 0.84 states/eV/atom; magnetic moment = 0.000 Bohr magnetons per cell; E_tot = -36.7 eV per formula unit; energy of formation from the pure elements = -578 meV/atom
1.0
-1.699 2.381 3.115
-3.353 -5.522 5.322
6.461 -1.998 7.982
Pr Ho Rh
2 6 4
Direct
0.444 0.402 0.711
0.556 0.598 0.289
0.075 0.018 0.833
0.925 0.982 0.167
0.713 0.669 0.905
0.287 0.331 0.095
0.830 0.813 0.526
0.170 0.187 0.474
0.881 0.314 0.924
0.119 0.686 0.076
0.639 0.066 0.656
0.361 0.934 0.344